Density functional theory data (PBE+U) for Pm2VSbO8 after structural relaxation.

Theoretical density (g cm⁻³): 6.04
Magnetization (μB/cell): 0.0
E (eV/atom): -7.305

a b c (Å): 4.9545 4.9568 6.6252
angles (deg): 90.48 90.48 93.13
With the nearest neighbours (Å) after each atom.
Fractional positions:
O (0.7159, 0.7169, 0.9677)  1 Sb 1.94
O (0.7369, 0.7378, 0.5378)  1 V 1.81
O (0.2841, 0.2831, 0.0323)  1 Sb 1.94
O (0.7960, 0.1426, 0.2566)  1 V 2.05, 1 Sb 2.12
O (0.2631, 0.2622, 0.4622)  1 V 1.81
O (0.1419, 0.7952, 0.2565)  1 V 2.05, 1 Sb 2.12
O (0.2040, 0.8574, 0.7434)  1 V 2.05, 1 Sb 2.12
O (0.8581, 0.2048, 0.7435)  1 V 2.05, 1 Sb 2.12
V (0.0000, 0.0000, 0.5000)  2 O 1.81
Pm (0.4514, 0.4517, 0.7452)  6 O 2.23-2.41
Pm (0.5486, 0.5483, 0.2548)  6 O 2.23-2.41
Sb (0.0000, 0.0000, 0.0000)  6 O 1.94-2.12